Entry 1:
The following is a GGA-PBE calculation of a relaxed structure of PmInPb2S5, from Alexandria via LeMat-Bulk.

Summary:
- M_tot: 0.000 μB/atom
- Uncorrected formation energy: -0.937 eV per atom
- Fermi-level density of states: 0.000 states/eV/atom

a b c (Å): 4.0650 9.2410 12.8545
angles (deg): 90.00 90.00 102.71
Last column: nearest neighbours and their distance in Å.
Fractional positions:
S 0.2882 0.5763 0.6691  2 Pm 2.81, 3 Pb 2.86-3.13
S 0.0451 0.0903 0.0544  2 In 2.50
S 0.7118 0.4237 0.1691  2 Pm 2.81, 3 Pb 2.86-3.13
S 0.3216 0.6432 0.3715  1 In 2.59, 2 Pm 2.82
Pb 0.8718 0.7437 0.8127  4 S 2.86-3.13
S 0.6398 0.2796 0.5149  1 Pm 2.76, 2 Pb 2.84
Pb 0.1293 0.2586 0.6689  3 S 2.84-2.86
S 0.9549 0.9097 0.5544  2 In 2.50
S 0.3602 0.7204 0.0149  1 Pm 2.76, 2 Pb 2.84
Pm 0.2072 0.4145 0.0181  6 S 2.76-2.96
Pm 0.7928 0.5855 0.5181  6 S 2.76-2.96
In 0.5435 0.0870 0.9405  4 S 2.43-2.59
S 0.6784 0.3568 0.8715  1 In 2.59, 2 Pm 2.82
Pb 0.8707 0.7414 0.1689  3 S 2.84-2.86
S 0.5200 0.0401 0.2739  1 In 2.43
Pb 0.1282 0.2563 0.3127  4 S 2.86-3.13
S 0.4800 0.9599 0.7739  1 In 2.43
In 0.4565 0.9130 0.4405  4 S 2.43-2.59

***

Entry 2:
The following is a GGA-PBE calculation of a relaxed structure of PmIn2PbS4, from Alexandria via LeMat-Bulk.

Summary:
- M_tot: 0.000 μB/atom
- Uncorrected formation energy: -0.868 eV per atom
- Fermi-level density of states: 0.466 states/eV/atom

a b c (Å): 4.0887 7.3241 7.3646
angles (deg): 71.38 90.00 90.00
Last column: nearest neighbours and their distance in Å.
Fractional positions:
Pb 0.5000 0.5000 0.0000  6 S 3.03-3.04
S 0.5000 0.7298 0.2785  2 Pm 2.81, 3 In 2.94-3.12, 1 Pb 3.04
S 0.0000 0.2518 0.2720  1 Pm 2.84, 3 In 2.90-3.13, 2 Pb 3.03
S 0.5000 0.2702 0.7215  2 Pm 2.81, 3 In 2.94-3.12, 1 Pb 3.04
In 0.0000 0.0000 0.0000  6 S 3.12-3.13
In 0.5000 0.0000 0.5000  6 S 2.90-2.94
Pm 0.0000 0.5000 0.5000  6 S 2.81-2.84
S 0.0000 0.7482 0.7280  1 Pm 2.84, 3 In 2.90-3.13, 2 Pb 3.03

***

Entry 3:
The following is a GGA-PBE calculation of a relaxed structure of PmScInPb, from Alexandria via LeMat-Bulk.

Summary:
- M_tot: 0.000 μB/atom
- Fermi-level density of states: 0.985 states/eV/atom
- Formation energy from the elements: -362 meV per atom

a b c (Å): 5.3288 5.3288 5.3288
angles (deg): 60.00 60.00 60.00
Last column: nearest neighbours and their distance in Å.
Fractional positions:
Pb 0.7500 0.7500 0.7500  4 Sc 3.26, 4 Pm 3.26
Pm 0.0000 0.0000 0.0000  4 In 3.26, 4 Pb 3.26
In 0.2500 0.2500 0.2500  4 Sc 3.26, 4 Pm 3.26
Sc 0.5000 0.5000 0.5000  4 Pb 3.26, 4 In 3.26

***

Entry 4:
The following is a GGA-PBE calculation of a relaxed structure of PmIn2PbSe4, from Alexandria via LeMat-Bulk.

Summary:
- M_tot: 0.000 μB/atom
- Uncorrected formation energy: -0.853 eV per atom
- Fermi-level density of states: 0.504 states/eV/atom

a b c (Å): 4.2428 7.6289 7.5933
angles (deg): 71.24 90.00 90.00
Last column: nearest neighbours and their distance in Å.
Fractional positions:
Pm 0.0000 0.5000 0.5000  6 Se 2.94-2.97
Se 0.5000 0.7333 0.2727  2 Pm 2.94, 3 In 3.06-3.20, 1 Pb 3.13
In 0.5000 0.0000 0.5000  6 Se 3.02-3.06
Se 0.0000 0.2523 0.2681  1 Pm 2.97, 3 In 3.02-3.22, 2 Pb 3.12
Se 0.5000 0.2667 0.7273  2 Pm 2.94, 3 In 3.06-3.20, 1 Pb 3.13
In 0.0000 0.0000 0.0000  6 Se 3.20-3.22
Se 0.0000 0.7477 0.7319  1 Pm 2.97, 3 In 3.02-3.22, 2 Pb 3.12
Pb 0.5000 0.5000 0.0000  6 Se 3.12-3.13